Compound: V2Mo8Os
Source: the Alexandria database
Functional: PBE
Structure: optimized geometry

Calculated values
Its density of states at the Fermi level is 13.77 states/eV/f.u. The calculated total energy comes out at -9.6875 eV per atom. The calculation puts the formation energy at 83.8 kJ per mole of atoms.

Unit cell a=5.7258 b=5.7258 c=5.9650 alpha=90.00 beta=90.00 gamma=90.00
Last column: nearest neighbours and their distance in Å.
Space group P4/mmm (No. 123)
One atom of each set of equivalent atoms:
V: 0.0000 0.5000 0.0000 (multiplicity 2)  8 Mo 2.55
Mo: 0.2282 0.2282 0.2590 (multiplicity 8)  2 V 2.55, 2 Mo 2.61, 1 Os 2.63
Os: 0.5000 0.5000 0.5000 (multiplicity 1)  8 Mo 2.63

---

Compound: V3MoOs2
Source: the Alexandria database
Functional: PBE
Structure: optimized geometry

Calculated values
Its density of states at the Fermi level is 3.71 states/eV/f.u. The calculated total energy comes out at -10.3913 eV per atom. The calculation puts the formation energy at -27.4 kJ per mole of atoms.

Unit cell a=4.2936 b=12.8686 c=6.0812 alpha=90.00 beta=90.00 gamma=90.00
Last column: nearest neighbours and their distance in Å.
Space group Cmmm (No. 65)
One atom of each set of equivalent atoms:
V: 0.0000 0.0000 0.2473 (multiplicity 4)  2 Mo 2.61, 6 Os 2.62-2.64
V: 0.0000 0.3323 0.2467 (multiplicity 8)  3 Mo 2.62, 5 Os 2.63-2.65
Mo: 0.0000 0.1654 0.0000 (multiplicity 4)  8 V 2.61-2.62
Os: 0.0000 0.1662 0.5000 (multiplicity 4)  8 V 2.63-2.64
Os: 0.0000 0.5000 0.0000 (multiplicity 2)  8 V 2.62-2.63
Os: 0.0000 0.5000 0.5000 (multiplicity 2)  8 V 2.64-2.65

---

Compound: V5Mo2Os
Source: the Alexandria database
Functional: PBE
Structure: optimized geometry

Calculated values
Its density of states at the Fermi level is 7.01 states/eV/f.u. The calculated total energy comes out at -9.9449 eV per atom. The calculation puts the formation energy at -13.0 kJ per mole of atoms.

Unit cell a=5.1608 b=10.0676 c=4.3716 alpha=90.00 beta=90.00 gamma=90.00
Last column: nearest neighbours and their distance in Å.
Space group Pbam (No. 55)
One atom of each set of equivalent atoms:
V: 0.0000 0.0000 0.0000 (multiplicity 2)  2 Os 2.58, 2 V 2.65, 4 Mo 2.68
V: 0.1495 0.2515 0.0000 (multiplicity 4)  5 V 2.58-2.75, 1 Os 2.62, 2 Mo 2.67
V: 0.1667 0.6155 0.5000 (multiplicity 4)  4 Mo 2.58-2.60, 2 Os 2.62, 2 V 2.75
Mo: 0.1668 0.8717 0.5000 (multiplicity 4)  8 V 2.58-2.68
Os: 0.0000 0.5000 0.0000 (multiplicity 2)  8 V 2.58-2.62

---

Compound: V2Mo4Os
Source: the Alexandria database
Functional: PBE
Structure: optimized geometry

Calculated values
Its density of states at the Fermi level is 7.29 states/eV/f.u. The calculated total energy comes out at -8.9488 eV per atom. The calculation puts the formation energy at 139.9 kJ per mole of atoms.

Unit cell a=4.6904 b=4.6904 c=12.2570 alpha=90.00 beta=90.00 gamma=90.00
Last column: nearest neighbours and their distance in Å.
Space group I4/mmm (No. 139)
One atom of each set of equivalent atoms:
V: 0.0000 0.0000 0.1202 (multiplicity 4)  1 Mo 2.18
Mo: 0.0000 0.0000 0.2980 (multiplicity 4)  1 V 2.18
Mo: 0.0000 0.5000 0.0000 (multiplicity 4)  2 Os 2.35
Os: 0.0000 0.0000 0.5000 (multiplicity 2)  6 Mo 2.35-2.48

---

Compound: V2Mo3Os
Source: the Alexandria database
Functional: PBE
Structure: optimized geometry

Calculated values
Its density of states at the Fermi level is 4.80 states/eV/f.u. The calculated total energy comes out at -10.4358 eV per atom. The calculation puts the formation energy at -10.5 kJ per mole of atoms.

Unit cell a=13.1477 b=4.3627 c=7.5491 alpha=90.00 beta=124.90 gamma=90.00
Last column: nearest neighbours and their distance in Å.
Space group C2/m (No. 12)
One atom of each set of equivalent atoms:
V: 0.0422 0.0000 0.2069 (multiplicity 4)  2 Os 2.63, 2 V 2.65-2.68, 4 Mo 2.67-2.69
V: 0.2092 0.5000 0.5393 (multiplicity 4)  1 Os 2.58, 3 V 2.64-2.68, 4 Mo 2.68-2.69
Mo: 0.0400 0.5000 0.7083 (multiplicity 4)  3 V 2.67-2.69, 4 Mo 2.69-2.72, 1 Os 2.75
Mo: 0.1254 0.0000 0.6227 (multiplicity 4)  3 V 2.67-2.68, 1 Os 2.68, 4 Mo 2.70-2.71
Mo: 0.2074 0.0000 0.0435 (multiplicity 4)  2 V 2.68-2.69, 2 Os 2.69, 4 Mo 2.70-2.72
Os: 0.1264 0.5000 0.1366 (multiplicity 4)  3 V 2.58-2.63, 4 Mo 2.68-2.75, 1 Os 2.73

---

Compound: V4Mo3Os2
Source: the Alexandria database
Functional: PBE
Structure: optimized geometry

Calculated values
Its density of states at the Fermi level is 5.24 states/eV/f.u. The calculated total energy comes out at -10.4176 eV per atom. The calculation puts the formation energy at -25.0 kJ per mole of atoms.

Unit cell a=4.3159 b=4.3159 c=7.9913 alpha=90.00 beta=90.00 gamma=120.00
Last column: nearest neighbours and their distance in Å.
Space group P-3m1 (No. 164)
One atom of each set of equivalent atoms:
V: 0.0000 0.0000 0.1704 (multiplicity 2)  4 Mo 2.63-2.65, 3 Os 2.64, 1 V 2.72
V: 0.3333 0.6667 0.3930 (multiplicity 2)  4 Os 2.60-2.65, 4 Mo 2.63-2.68
Mo: 0.0000 0.0000 0.5000 (multiplicity 1)  8 V 2.63
Mo: 0.3333 0.6667 0.0576 (multiplicity 2)  4 V 2.65-2.68, 3 Mo 2.66, 1 Os 2.71
Os: 0.3333 0.6667 0.7189 (multiplicity 2)  7 V 2.60-2.65, 1 Mo 2.71

---

Compound: V4MoOs
Source: the Alexandria database
Functional: PBE
Structure: optimized geometry

Calculated values
As for the relative energy among the computed polymorphs: 0.784 eV per atom. Its density of states at the Fermi level is 6.57 states/eV/f.u. The calculated total energy comes out at -9.2247 eV per atom. The calculation puts the formation energy at 51.2 kJ per mole of atoms.

Unit cell a=4.1576 b=4.1576 c=20.1806 alpha=90.00 beta=90.00 gamma=120.00
Last column: nearest neighbours and their distance in Å.
Space group R-3m (No. 166, hexagonal axes)
One atom of each set of equivalent atoms:
V: 0.0000 0.0000 0.1247 (multiplicity 6)  1 Os 2.52, 3 Mo 2.55
V: 0.0000 0.0000 0.3737 (multiplicity 6)  3 Os 2.53, 1 Mo 2.55
Mo: 0.0000 0.0000 0.5000 (multiplicity 3)  8 V 2.55
Os: 0.0000 0.0000 0.0000 (multiplicity 3)  8 V 2.52-2.53

---

Compound: V4MoOs
Source: the Alexandria database
Functional: PBE
Structure: optimized geometry

Calculated values
As for the relative energy among the computed polymorphs: 0.000 eV per atom. Its density of states at the Fermi level is 3.29 states/eV/f.u. The calculated total energy comes out at -10.0089 eV per atom. The calculation puts the formation energy at -24.4 kJ per mole of atoms.

Unit cell a=3.0186 b=3.0186 c=9.1259 alpha=90.00 beta=90.00 gamma=90.00
Last column: nearest neighbours and their distance in Å.
Space group P4/mmm (No. 123)
One atom of each set of equivalent atoms:
V: 0.0000 0.0000 0.1665 (multiplicity 2)  4 V 2.61, 4 Os 2.62
V: 0.5000 0.5000 0.3308 (multiplicity 2)  4 V 2.61, 4 Mo 2.63
Mo: 0.0000 0.0000 0.5000 (multiplicity 1)  8 V 2.63
Os: 0.5000 0.5000 0.0000 (multiplicity 1)  8 V 2.62

---

Compound: V6Mo2Os
Source: the Alexandria database
Functional: PBE
Structure: optimized geometry

Calculated values
Its density of states at the Fermi level is 13.72 states/eV/f.u. The calculated total energy comes out at -9.1182 eV per atom. The calculation puts the formation energy at 59.4 kJ per mole of atoms.

Unit cell a=13.1222 b=5.9266 c=4.1052 alpha=90.00 beta=107.95 gamma=90.00
Last column: nearest neighbours and their distance in Å.
Space group C2/m (No. 12)
One atom of each set of equivalent atoms:
V: 0.0000 0.2494 0.0000 (multiplicity 4)  2 Os 2.53, 2 Mo 2.55
V: 0.1659 0.2475 0.6654 (multiplicity 8)  1 Os 2.54, 3 Mo 2.54-2.56
Mo: 0.1662 0.5000 0.1657 (multiplicity 4)  8 V 2.54-2.56
Os: 0.0000 0.0000 0.5000 (multiplicity 2)  8 V 2.53-2.54

---

Compound: VMoOs4
Source: the Alexandria database
Functional: PBE
Structure: optimized geometry

Calculated values
Its density of states at the Fermi level is 5.60 states/eV/f.u. The calculated total energy comes out at -10.5907 eV per atom. The calculation puts the formation energy at 21.3 kJ per mole of atoms.

Unit cell a=4.3443 b=4.3443 c=5.3874 alpha=90.00 beta=90.00 gamma=120.00
Last column: nearest neighbours and their distance in Å.
Space group P-3m1 (No. 164)
One atom of each set of equivalent atoms:
V: 0.0000 0.0000 0.0000 (multiplicity 1)  6 Os 2.60, 2 Mo 2.69
Mo: 0.0000 0.0000 0.5000 (multiplicity 1)  6 Os 2.61, 2 V 2.69
Os: 0.3333 0.6667 0.1288 (multiplicity 2)  3 V 2.60, 8 Os 2.67-2.87
Os: 0.3333 0.6667 0.6339 (multiplicity 2)  3 Mo 2.61, 8 Os 2.67-2.89

---

Compound: Y2VMoOs
Source: the Alexandria database
Functional: PBE
Structure: optimized geometry

Calculated values
Its density of states at the Fermi level is 10.04 states/eV/f.u. The calculated total energy comes out at -7.4835 eV per atom. The calculation puts the formation energy at 129.1 kJ per mole of atoms.

Unit cell a=5.2614 b=5.2614 c=4.6646 alpha=90.00 beta=90.00 gamma=90.00
Last column: nearest neighbours and their distance in Å.
Space group P4/mmm (No. 123)
One atom of each set of equivalent atoms:
Y: 0.0000 0.5000 0.0000 (multiplicity 2)  2 Mo 2.63
V: 0.0000 0.0000 0.5000 (multiplicity 1)  8 Y 3.52, 4 Os 3.72
Mo: 0.5000 0.5000 0.0000 (multiplicity 1)  2 Os 2.33
Os: 0.5000 0.5000 0.5000 (multiplicity 1)  2 Mo 2.33

---

Compound: ZrVMoOs
Source: the Alexandria database
Functional: PBE
Structure: optimized geometry

Calculated values
Its density of states at the Fermi level is 2.63 states/eV/f.u. The calculated total energy comes out at -10.1326 eV per atom. The calculation puts the formation energy at -19.4 kJ per mole of atoms.

Unit cell a=6.3552 b=6.3552 c=6.3552 alpha=90.00 beta=90.00 gamma=90.00
Last column: nearest neighbours and their distance in Å.
Space group F-43m (No. 216)
One atom of each set of equivalent atoms:
Zr: 0.0000 0.0000 0.0000 (multiplicity 4)  4 Os 2.75, 4 Mo 2.75
V: 0.0000 0.0000 0.5000 (multiplicity 4)  4 Mo 2.75, 4 Os 2.75
Mo: 0.2500 0.2500 0.7500 (multiplicity 4)  4 Zr 2.75, 4 V 2.75
Os: 0.2500 0.2500 0.2500 (multiplicity 4)  4 V 2.75, 4 Zr 2.75